No. 1
{"formula": "Au3IN", "functional": "PBE", "state": "relaxed", "cell": [[5.5028, 0.0000, 0.0000], [0.0000, 5.5028, 0.0000], [0.0000, 0.0000, 5.5028]], "species": ["I", "Au", "Au", "Au", "N"], "fractional_positions": [[0.0000, 0.0000, 0.0000], [0.0000, 0.5000, 0.0000], [0.5000, 0.0000, 0.0000], [0.0000, 0.0000, 0.5000], [0.5000, 0.5000, 0.5000]], "raw_formation_energy_ev_per_fu": 8.62, "sg": "Pm-3m (221)", "de_polymorph_ev_per_atom": 0.818, "magnetic_moment_mub_per_fu": 2.88, "dos_at_fermi_per_ev_cell": 2.404}



No. 2
{"formula": "Au3IN", "functional": "PBE", "state": "relaxed", "cell": [[-2.2459, -3.6034, 1.7541], [3.9479, -2.3351, 0.2578], [0.6894, 1.6334, 4.2382]], "species": ["N", "Au", "Au", "Au", "I"], "fractional_positions": [[0.0000, 0.0000, 0.0000], [0.0000, 0.5000, 0.0000], [0.5000, 0.0000, 0.0000], [0.0000, 0.0000, 0.5000], [0.5000, 0.5000, 0.5000]], "raw_formation_energy_ev_per_fu": 4.53, "sg": "Pm-3m (221)", "de_polymorph_ev_per_atom": 0.000, "magnetic_moment_mub_per_fu": 0.00, "dos_at_fermi_per_ev_cell": 4.327}



No. 3
{"formula": "Au2IN", "functional": "PBE", "state": "relaxed", "cell": [[2.2816, -3.8438, -1.8591], [-1.6132, -4.4649, 0.9483], [-2.1037, -2.6069, -3.4951]], "species": ["N", "I", "Au", "Au"], "fractional_positions": [[0.0000, 0.0000, 0.0000], [0.5000, 0.5000, 0.5000], [0.7500, 0.7500, 0.7500], [0.2500, 0.2500, 0.2500]], "raw_formation_energy_ev_per_fu": 6.27, "sg": "Fm-3m (225)", "de_polymorph_ev_per_atom": 0.837, "magnetic_moment_mub_per_fu": 2.09, "dos_at_fermi_per_ev_cell": 0.972}



No. 4
{"formula": "AuI4N2", "functional": "PBE", "state": "relaxed", "cell": [[3.9323, 0.3889, 0.3506], [-0.0328, 13.7810, 0.8476], [0.8325, 0.2171, 4.5070]], "species": ["N", "N", "I", "I", "I", "I", "Au"], "fractional_positions": [[0.7374, 0.5872, 0.6375], [0.2626, 0.4128, 0.3625], [0.2019, 0.6044, 0.3774], [0.4138, 0.1299, 0.1291], [0.5862, 0.8701, 0.8709], [0.7981, 0.3956, 0.6226], [0.0000, 0.0000, 0.0000]], "raw_formation_energy_ev_per_fu": 6.84, "sg": "P-1 (2)", "magnetic_moment_mub_per_fu": 0.00, "dos_at_fermi_per_ev_cell": 4.880}



No. 5
{"formula": "Au2IN", "functional": "PBE", "state": "relaxed", "cell": [[5.5726, 0.0000, 0.0000], [0.0000, 5.5726, 0.0000], [2.7863, 2.7863, 6.0151]], "species": ["Au", "Au", "Au", "Au", "I", "I", "N", "N"], "fractional_positions": [[0.8750, 0.6245, 0.7500], [0.3745, 0.1250, 0.2500], [0.3755, 0.6250, 0.2500], [0.3750, 0.6255, 0.7500], [0.7500, 0.2500, 0.5000], [0.0000, 0.0000, 0.0000], [0.5000, 0.5000, 0.0000], [0.2500, 0.7500, 0.5000]], "raw_formation_energy_ev_per_fu": 2.92, "sg": "I4_1/amd (141)", "de_polymorph_ev_per_atom": 0.000, "magnetic_moment_mub_per_fu": 0.00, "dos_at_fermi_per_ev_cell": 4.284}



No. 6
{"formula": "AuI3N2", "functional": "PBE", "state": "relaxed", "cell": [[-9.9477, 1.0309, -0.4986], [1.9640, -4.1344, -6.4617], [-4.9038, -5.0186, 0.9667]], "species": ["N", "N", "N", "N", "Au", "Au", "I", "I", "I", "I", "I", "I"], "fractional_positions": [[0.1892, 0.1201, 0.4479], [0.8108, 0.8799, 0.5521], [0.4145, 0.6914, 0.4601], [0.5855, 0.3086, 0.5399], [0.9918, 0.7063, 0.0048], [0.0082, 0.2937, 0.9952], [0.2787, 0.4156, 0.5101], [0.3010, 0.1771, 0.0849], [0.7240, 0.1338, 0.4728], [0.6990, 0.8229, 0.9151], [0.7213, 0.5844, 0.4899], [0.2760, 0.8662, 0.5272]], "raw_formation_energy_ev_per_fu": 6.94, "sg": "P-1 (2)", "magnetic_moment_mub_per_fu": 2.02, "dos_at_fermi_per_ev_cell": 1.607}



No. 7
{"formula": "NaAuI2N", "functional": "PBE", "state": "relaxed", "cell": [[5.7459, 0.0000, 0.0000], [0.0000, 5.7459, 0.0000], [0.0000, 0.0000, 4.2941]], "species": ["I", "I", "Na", "N", "Au"], "fractional_positions": [[0.0000, 0.5000, 0.0000], [0.5000, 0.0000, 0.0000], [0.0000, 0.0000, 0.0000], [0.0000, 0.0000, 0.5000], [0.5000, 0.5000, 0.5000]], "raw_formation_energy_ev_per_fu": 6.49, "sg": "P4/mmm (123)", "de_polymorph_ev_per_atom": 0.986, "magnetic_moment_mub_per_fu": 0.00, "dos_at_fermi_per_ev_cell": 8.870}



No. 8
{"formula": "NaAuI2N", "functional": "PBE", "state": "relaxed", "cell": [[-1.9077, -5.4369, 2.0972], [5.8069, -1.5890, 1.1629], [-0.3058, 1.4722, 3.5385]], "species": ["Na", "Au", "I", "I", "N"], "fractional_positions": [[0.5000, 0.5000, 0.5000], [0.0000, 0.0000, 0.0000], [0.5000, 0.0000, 0.0000], [0.0000, 0.5000, 0.0000], [0.0000, 0.0000, 0.5000]], "raw_formation_energy_ev_per_fu": 1.56, "sg": "P4/mmm (123)", "de_polymorph_ev_per_atom": 0.000, "magnetic_moment_mub_per_fu": 0.18, "dos_at_fermi_per_ev_cell": 3.880}



no.,electronic total energy (eV per atom)
1,-2.22
2,-3.04
3,-2.54
4,-2.76
5,-3.38
6,-2.94
7,-1.91
8,-2.89